(1)
## Cu5Ag3 (PBE-GGA)

Data for an optimized crystal structure of Cu5Ag3.

## Properties
Uncorrected energy   -26.31 eV for the cell shown
DFT formation energy   0.75 eV per formula unit
Offset from the most stable computed form   4.5 kJ/mol of atoms

Cell: 2.779 5.573 7.324 Å, 90.00 90.00 90.00°
Positions (direct):
1 Cu 0.000 0.000 0.000
2 Cu 0.500 0.234 0.238
3 Cu 0.500 0.234 0.762
4 Cu 0.500 0.766 0.238
5 Cu 0.500 0.766 0.762
6 Ag 0.000 0.000 0.500
7 Ag 0.000 0.500 0.000
8 Ag 0.000 0.500 0.500



(2)
## Cu7Ag2 (PBE-GGA)

Data for an optimized crystal structure of Cu7Ag2.

## Properties
Uncorrected energy   -30.93 eV for the cell shown
DFT formation energy   0.74 eV per formula unit
Offset from the most stable computed form   3.5 kJ/mol of atoms

Cell: 2.680 2.680 19.198 Å, 90.00 90.00 120.00°
Positions (direct):
1 Cu 0.000 0.000 0.000
2 Cu 0.000 0.000 0.315
3 Cu 0.000 0.000 0.685
4 Cu 0.333 0.667 0.211
5 Cu 0.333 0.667 0.895
6 Cu 0.667 0.333 0.105
7 Cu 0.667 0.333 0.789
8 Ag 0.333 0.667 0.566
9 Ag 0.667 0.333 0.434



(3)
## Cu4Ag5 (PBE-GGA)

Data for an optimized crystal structure of Cu4Ag5.

## Properties
Uncorrected energy   -28.19 eV for the cell shown
DFT formation energy   0.80 eV per formula unit
Offset from the most stable computed form   4.9 kJ/mol of atoms

Cell: 13.247 13.247 13.247 Å, 167.66 163.91 20.32°
Positions (direct):
1 Cu 0.000 0.000 0.000
2 Cu 0.108 0.108 0.000
3 Cu 0.217 0.217 0.000
4 Cu 0.764 0.764 0.000
5 Ag 0.318 0.318 0.000
6 Ag 0.445 0.445 0.000
7 Ag 0.554 0.554 0.000
8 Ag 0.662 0.662 0.000
9 Ag 0.882 0.882 0.000



(4)
## Cu7Ag2 (PBE-GGA)

Data for an optimized crystal structure of Cu7Ag2.

## Properties
Uncorrected energy   -30.99 eV for the cell shown
DFT formation energy   0.67 eV per formula unit
Offset from the most stable computed form   2.7 kJ/mol of atoms

Cell: 6.909 6.909 6.909 Å, 157.35 108.78 75.83°
Positions (direct):
1 Cu 0.000 0.000 0.000
2 Cu 0.012 0.673 0.339
3 Cu 0.324 0.324 0.000
4 Cu 0.333 0.673 0.661
5 Cu 0.667 0.327 0.339
6 Cu 0.676 0.676 0.000
7 Cu 0.988 0.327 0.661
8 Ag 0.327 0.000 0.327
9 Ag 0.673 0.000 0.673



(5)
## Cu3Ag2 (PBE-GGA)

Data for an optimized crystal structure of Cu3Ag2.

## Properties
Uncorrected energy   -33.06 eV for the cell shown
DFT formation energy   0.27 eV per formula unit
Offset from the most stable computed form   1.2 kJ/mol of atoms

Cell: 4.924 4.924 10.743 Å, 95.35 95.35 33.42°
Positions (direct):
1 Cu 0.039 0.039 0.384
2 Cu 0.286 0.286 0.721
3 Cu 0.337 0.337 0.448
4 Cu 0.663 0.663 0.552
5 Cu 0.714 0.714 0.279
6 Cu 0.961 0.961 0.616
7 Ag 0.142 0.142 0.061
8 Ag 0.426 0.426 0.184
9 Ag 0.574 0.574 0.816
10 Ag 0.858 0.858 0.939



(6)
## Cu3Ag5 (PBE-GGA)

Data for an optimized crystal structure of Cu3Ag5.

## Properties
Uncorrected energy   -49.08 eV for the cell shown
DFT formation energy   0.73 eV per formula unit
Offset from the most stable computed form   5.3 kJ/mol of atoms

Cell: 5.663 7.780 5.713 Å, 90.00 90.00 90.00°
Positions (direct):
1 Cu 0.000 0.000 0.000
2 Cu 0.250 0.250 0.770
3 Cu 0.250 0.750 0.770
4 Cu 0.500 0.500 0.000
5 Cu 0.750 0.250 0.770
6 Cu 0.750 0.750 0.770
7 Ag 0.000 0.000 0.533
8 Ag 0.000 0.500 0.521
9 Ag 0.000 0.500 0.999
10 Ag 0.250 0.250 0.254
11 Ag 0.250 0.750 0.254
12 Ag 0.500 0.000 0.521
13 Ag 0.500 0.000 0.999
14 Ag 0.500 0.500 0.533
15 Ag 0.750 0.250 0.254
16 Ag 0.750 0.750 0.254